# Y2AlPd3 | Alexandria via LeMat-Bulk | PBE | optimized geometry
data_Y2AlPd3
_cell_length_a 4.280
_cell_length_b 5.421
_cell_length_c 11.000
_cell_angle_alpha 90.00
_cell_angle_beta 90.00
_cell_angle_gamma 90.00
_symmetry_space_group_name_H-M 'I m m m'
_symmetry_Int_Tables_number 71
_symmetry_space_group_name_Hall '-I 2 2'
loop_
_atom_site_label
_atom_site_type_symbol
_atom_site_fract_x
_atom_site_fract_y
_atom_site_fract_z
_atom_site_occupancy
Y1 Y 0.000 0.000 0.187 1
Al1 Al 0.000 0.000 0.500 1
Pd1 Pd 0.000 0.500 0.125 1
Pd2 Pd 0.000 0.500 0.500 1
# * D(E_F): 2.5 states/eV/f.u.
# * total energy: -6.081 eV per atom
# * size of the total moment: 0.000 μB per atom



# Y6AlPd2 | Alexandria via LeMat-Bulk | PBE | optimized geometry
data_Y6AlPd2
_cell_length_a 9.483
_cell_length_b 9.711
_cell_length_c 10.360
_cell_angle_alpha 90.00
_cell_angle_beta 90.00
_cell_angle_gamma 90.00
_symmetry_space_group_name_H-M 'I m m m'
_symmetry_Int_Tables_number 71
_symmetry_space_group_name_Hall '-I 2 2'
loop_
_atom_site_label
_atom_site_type_symbol
_atom_site_fract_x
_atom_site_fract_y
_atom_site_fract_z
_atom_site_occupancy
Y1 Y 0.000 0.193 0.239 1
Y2 Y 0.202 0.500 0.171 1
Y3 Y 0.215 0.319 0.500 1
Al1 Al 0.000 0.000 0.000 1
Al2 Al 0.000 0.000 0.500 1
Pd1 Pd 0.000 0.340 0.000 1
Pd2 Pd 0.000 0.500 0.367 1
# * D(E_F): 8.8 states/eV/f.u.
# * total energy: -6.400 eV per atom
# * size of the total moment: 0.000 μB per atom



# Y3Al3Pd | Alexandria via LeMat-Bulk | PBE | optimized geometry
data_Y3Al3Pd
_cell_length_a 10.906
_cell_length_b 4.419
_cell_length_c 14.409
_cell_angle_alpha 90.00
_cell_angle_beta 110.21
_cell_angle_gamma 90.00
_symmetry_space_group_name_H-M 'C 1 2/m 1'
_symmetry_Int_Tables_number 12
loop_
_symmetry_equiv_pos_as_xyz
'x,y,z'
'-x,-y,-z'
'-x,y,-z'
'x,-y,z'
'x+1/2,y+1/2,z'
'-x+1/2,-y+1/2,-z'
'-x+1/2,y+1/2,-z'
'x+1/2,-y+1/2,z'
loop_
_atom_site_label
_atom_site_type_symbol
_atom_site_fract_x
_atom_site_fract_y
_atom_site_fract_z
_atom_site_occupancy
Y1 Y 0.022 0.000 0.380 1
Y2 Y 0.105 0.000 0.923 1
Y3 Y 0.241 0.000 0.232 1
Al1 Al 0.037 0.500 0.236 1
Al2 Al 0.108 0.500 0.077 1
Al3 Al 0.141 0.500 0.538 1
Pd1 Pd 0.246 0.500 0.398 1
# * D(E_F): 6.5 states/eV/f.u.
# * total energy: -5.713 eV per atom
# * size of the total moment: 0.000 μB per atom



# YAl4Pd2 | Alexandria via LeMat-Bulk | PBE | optimized geometry
data_YAl4Pd2
_cell_length_a 8.742
_cell_length_b 6.598
_cell_length_c 5.288
_cell_angle_alpha 90.00
_cell_angle_beta 126.45
_cell_angle_gamma 90.00
_symmetry_space_group_name_H-M 'C 1 2/m 1'
_symmetry_Int_Tables_number 12
loop_
_symmetry_equiv_pos_as_xyz
'x,y,z'
'-x,-y,-z'
'-x,y,-z'
'x,-y,z'
'x+1/2,y+1/2,z'
'-x+1/2,-y+1/2,-z'
'-x+1/2,y+1/2,-z'
'x+1/2,-y+1/2,z'
loop_
_atom_site_label
_atom_site_type_symbol
_atom_site_fract_x
_atom_site_fract_y
_atom_site_fract_z
_atom_site_occupancy
Y1 Y 0.000 0.000 0.000 1
Al1 Al 0.191 0.203 0.704 1
Pd1 Pd 0.056 0.500 0.304 1
# * D(E_F): 3.2 states/eV/f.u.
# * total energy: -5.125 eV per atom
# * size of the total moment: 0.000 μB per atom



# YAl2Pd3 | Alexandria via LeMat-Bulk | PBE | optimized geometry
data_YAl2Pd3
_cell_length_a 4.3618
_cell_length_b 4.3618
_cell_length_c 12.7588
_cell_angle_alpha 90.00
_cell_angle_beta 90.00
_cell_angle_gamma 120.00
_symmetry_space_group_name_H-M 'P 63/m m c'
_symmetry_Int_Tables_number 194
_symmetry_space_group_name_Hall '-P 6c 2c'
loop_
_atom_site_label
_atom_site_type_symbol
_atom_site_fract_x
_atom_site_fract_y
_atom_site_fract_z
_atom_site_occupancy
Y1 Y 0.0000 0.0000 0.2500 1
Al1 Al 0.3333 0.6667 0.0751 1
Pd1 Pd 0.0000 0.0000 0.0000 1
Pd2 Pd 0.3333 0.6667 0.6266 1
# * D(E_F): 3.1 states/eV/f.u.
# * total energy: -5.856 eV per atom
# * size of the total moment: 0.000 μB per atom



# YAl2Pd2 | Alexandria via LeMat-Bulk | PBE | optimized geometry
data_YAl2Pd2
_cell_length_a 4.077
_cell_length_b 4.077
_cell_length_c 11.350
_cell_angle_alpha 90.00
_cell_angle_beta 90.00
_cell_angle_gamma 90.00
_symmetry_space_group_name_H-M 'I 4/m m m'
_symmetry_Int_Tables_number 139
_symmetry_space_group_name_Hall '-I 4 2'
loop_
_atom_site_label
_atom_site_type_symbol
_atom_site_fract_x
_atom_site_fract_y
_atom_site_fract_z
_atom_site_occupancy
Y1 Y 0.000 0.000 0.000 1
Al1 Al 0.000 0.500 0.250 1
Pd1 Pd 0.000 0.000 0.381 1
# * D(E_F): 3.3 states/eV/f.u.
# * total energy: -5.705 eV per atom
# * size of the total moment: 0.000 μB per atom



- Number 6 is which compound?
  YAl2Pd2



What did the fourth record say?
# YAl4Pd2 | Alexandria via LeMat-Bulk | PBE | optimized geometry
data_YAl4Pd2
_cell_length_a 8.742
_cell_length_b 6.598
_cell_length_c 5.288
_cell_angle_alpha 90.00
_cell_angle_beta 126.45
_cell_angle_gamma 90.00
_symmetry_space_group_name_H-M 'C 1 2/m 1'
_symmetry_Int_Tables_number 12
loop_
_symmetry_equiv_pos_as_xyz
'x,y,z'
'-x,-y,-z'
'-x,y,-z'
'x,-y,z'
'x+1/2,y+1/2,z'
'-x+1/2,-y+1/2,-z'
'-x+1/2,y+1/2,-z'
'x+1/2,-y+1/2,z'
loop_
_atom_site_label
_atom_site_type_symbol
_atom_site_fract_x
_atom_site_fract_y
_atom_site_fract_z
_atom_site_occupancy
Y1 Y 0.000 0.000 0.000 1
Al1 Al 0.191 0.203 0.704 1
Pd1 Pd 0.056 0.500 0.304 1
# * D(E_F): 3.2 states/eV/f.u.
# * total energy: -5.125 eV per atom
# * size of the total moment: 0.000 μB per atom



- Which formula does entry 3 have?
  Y3Al3Pd



- What is the formula in the second record?
  Y6AlPd2